# 1
Below is a geometry-optimized TaPb2 structure, with properties calculated at the PBE-GGA level. Values from VASP.

Quantum ESPRESSO input file:
```
&SYSTEM
  ibrav = 0, nat = 12, ntyp = 2
/
ATOMIC_SPECIES
Pb 207.20 Pb.upf
Ta 180.95 Ta.upf
CELL_PARAMETERS angstrom
-2.878 -4.871 -1.657
4.026 2.404 -3.573
7.925 -6.282 4.704
ATOMIC_POSITIONS crystal
Pb 0.000 0.000 0.000
Pb 0.000 0.000 0.500
Pb 0.831 0.661 0.250
Pb 0.169 0.339 0.750
Pb 0.339 0.169 0.250
Pb 0.831 0.169 0.250
Pb 0.169 0.831 0.750
Pb 0.661 0.831 0.750
Ta 0.333 0.667 0.987
Ta 0.667 0.333 0.487
Ta 0.667 0.333 0.013
Ta 0.333 0.667 0.513
```

Output
Total energy   -5.232 eV per atom
Total magnetization   0.00 μB/f.u.

# 2
Below is a geometry-optimized PrNd6Sm2Y structure, with properties calculated at the PBE-GGA level. Values from VASP.

Quantum ESPRESSO input file:
```
&SYSTEM
  ibrav = 0, nat = 20, ntyp = 4
/
ATOMIC_SPECIES
Pr 140.91 Pr.upf
Nd 144.24 Nd.upf
Sm 150.36 Sm.upf
Y 88.91 Y.upf
CELL_PARAMETERS angstrom
-3.317 -8.438 -3.908
8.568 -2.803 0.410
-5.057 -0.703 7.441
ATOMIC_POSITIONS crystal
Pr 0.250 0.977 0.023
Pr 0.750 0.023 0.977
Nd 0.055 0.119 0.752
Nd 0.445 0.248 0.881
Nd 0.945 0.881 0.248
Nd 0.555 0.752 0.119
Nd 0.314 0.985 0.432
Nd 0.186 0.568 0.015
Nd 0.686 0.015 0.568
Nd 0.814 0.432 0.985
Nd 0.120 0.706 0.493
Nd 0.380 0.507 0.294
Nd 0.880 0.294 0.507
Nd 0.620 0.493 0.706
Sm 0.456 0.801 0.701
Sm 0.044 0.299 0.199
Sm 0.544 0.199 0.299
Sm 0.956 0.701 0.801
Y 0.250 0.409 0.591
Y 0.750 0.591 0.409
```

Output
Total energy   -4.820 eV per atom
Total magnetization   0.00 μB/f.u.

# 3
Below is a geometry-optimized ThHg2Bi structure, with properties calculated at the PBE-GGA level. Values from VASP.

Quantum ESPRESSO input file:
```
&SYSTEM
  ibrav = 0, nat = 4, ntyp = 3
/
ATOMIC_SPECIES
Bi 208.98 Bi.upf
Th 232.04 Th.upf
Hg 200.59 Hg.upf
CELL_PARAMETERS angstrom
5.384 0.000 0.000
2.692 4.663 0.000
2.692 1.554 4.396
ATOMIC_POSITIONS crystal
Bi 0.500 0.500 0.500
Th 0.000 0.000 0.000
Hg 0.250 0.250 0.250
Hg 0.750 0.750 0.750
```

Output
Offset from the most stable computed form   0.170 eV per atom
Total magnetization   0.00 μB/f.u.

# 4
Below is a geometry-optimized CaSc2Cl structure, with properties calculated at the PBE-GGA level. Values from VASP.

Quantum ESPRESSO input file:
```
&SYSTEM
  ibrav = 0, nat = 4, ntyp = 3
/
ATOMIC_SPECIES
Sc 44.96 Sc.upf
Ca 40.08 Ca.upf
Cl 35.45 Cl.upf
CELL_PARAMETERS angstrom
3.365 0.000 0.000
0.000 3.435 0.007
0.000 1.699 8.990
ATOMIC_POSITIONS crystal
Sc 0.000 0.814 0.996
Sc 0.500 0.197 0.230
Ca 0.000 0.548 0.530
Cl 0.500 0.941 0.744
```

Output
Formation energy from raw total energies   -596 meV/atom
Offset from the most stable computed form   0.052 eV per atom
Total magnetization   0.64 μB/f.u.